Compound: IrAu2
Source: the Alexandria database
Functional: PBE-GGA
Structure: relaxed

## Properties
For the density of states at the Fermi level, the calculation gives 11.85 states/eV per cell. The polymorph energy (0 for the lowest one) comes out at 0.140 eV/atom. The calculation puts the formation energy at 0.397 eV per atom. The value obtained for the total DFT energy (no corrections) is -4.741 eV per atom.

Structure (CIF):
```
data_IrAu2
_chemical_formula_sum 'Ir4 Au8'
_space_group_name_H-M_alt 'I 41/a m d'
_space_group_IT_number 141
_cell_length_a 2.769
_cell_length_b 2.769
_cell_length_c 27.132
_cell_angle_alpha 90.00
_cell_angle_beta 90.00
_cell_angle_gamma 90.00
loop_
_space_group_symop_operation_xyz
'x,y,z'
'-x,-y,-z'
'-y+1/4,x+3/4,z+1/4'
'y+1/4,-x+3/4,-z+1/4'
'-x+1/2,-y,z+1/2'
'x+1/2,y,-z+1/2'
'y+1/4,-x+1/4,z+3/4'
'-y+1/4,x+1/4,-z+3/4'
'x,-y,-z'
'-x,y,z'
'-y+1/4,-x+1/4,-z+3/4'
'y+1/4,x+1/4,z+3/4'
'-x+1/2,y,-z+1/2'
'x+1/2,-y,z+1/2'
'y+1/4,x+3/4,-z+1/4'
'-y+1/4,-x+3/4,z+1/4'
'x+1/2,y+1/2,z+1/2'
'-x+1/2,-y+1/2,-z+1/2'
'-y+3/4,x+1/4,z+3/4'
'y+3/4,-x+1/4,-z+3/4'
'-x,-y+1/2,z'
'x,y+1/2,-z'
'y+3/4,-x+3/4,z+1/4'
'-y+3/4,x+3/4,-z+1/4'
'x+1/2,-y+1/2,-z+1/2'
'-x+1/2,y+1/2,z+1/2'
'-y+3/4,-x+3/4,-z+1/4'
'y+3/4,x+3/4,z+1/4'
'-x,y+1/2,-z'
'x,-y+1/2,z'
'y+3/4,x+1/4,-z+3/4'
'-y+3/4,-x+1/4,z+3/4'
loop_
_atom_site_label
_atom_site_type_symbol
_atom_site_fract_x
_atom_site_fract_y
_atom_site_fract_z
_atom_site_occupancy
Ir1 Ir 0.000 0.250 0.375 1
Au1 Au 0.000 0.250 0.796 1
```

***

Compound: IrAu2
Source: the Alexandria database
Functional: PBE-GGA
Structure: relaxed

## Properties
For the density of states at the Fermi level, the calculation gives 7.93 states/eV per cell. The polymorph energy (0 for the lowest one) comes out at 0.177 eV/atom. The calculation puts the formation energy at 0.434 eV per atom. The value obtained for the total DFT energy (no corrections) is -4.704 eV per atom.

Structure (CIF):
```
data_IrAu2
_chemical_formula_sum 'Ir2 Au4'
_space_group_name_H-M_alt 'I m m m'
_space_group_IT_number 71
_space_group_name_Hall '-I 2 2'
_cell_length_a 2.795
_cell_length_b 4.092
_cell_length_c 8.837
_cell_angle_alpha 90.00
_cell_angle_beta 90.00
_cell_angle_gamma 90.00
loop_
_atom_site_label
_atom_site_type_symbol
_atom_site_fract_x
_atom_site_fract_y
_atom_site_fract_z
_atom_site_occupancy
Ir1 Ir 0.000 0.000 0.000 1
Au1 Au 0.000 0.000 0.337 1
```

***

- The highest total DFT energy (no corrections) belongs to which entry?
  number 2

***

- The lowest polymorph energy (0 for the lowest one) belongs to which entry?
  number 1

***

- Which value of polymorph energy (0 for the lowest one) does entry 1 give?
  0.140 eV/atom